(P)
A plane-wave DFT calculation with PBE-GGA was carried out for Zr3Se after structural relaxation. Values from VASP.

The volume comes out at 20.90 Å³/atom. The spin magnetization comes out at 0.00 μB per formula unit.

```
&SYSTEM
  ibrav = 0, nat = 16, ntyp = 2
/
ATOMIC_SPECIES
Zr 91.22 Zr.upf
Se 78.96 Se.upf
CELL_PARAMETERS angstrom
-4.346 3.174 0.611
-4.711 -0.514 -6.827
-6.116 -4.423 3.479
ATOMIC_POSITIONS angstrom
Zr -9.668 -2.395 2.510
Zr -7.735 -1.170 0.160
Zr -4.932 -0.083 1.470
Zr -7.465 2.063 -4.971
Zr -8.064 -4.260 0.674
Zr -12.434 -0.079 -3.898
Zr -4.387 -1.331 -1.370
Zr -7.635 -0.450 -2.868
Zr -10.589 -0.575 -1.395
Zr -11.223 -2.887 -3.635
Zr -4.917 0.895 -3.719
Zr -1.990 -0.307 0.622
Se -6.069 0.882 -0.939
Se -5.575 -2.905 0.646
Se -9.816 1.301 -3.352
Se -8.887 -2.804 -1.828
```



(Q)
A plane-wave DFT calculation with PBE-GGA was carried out for Zr3Se after structural relaxation. Values from VASP.

The volume comes out at 20.65 Å³/atom. The spin magnetization comes out at 0.00 μB per formula unit.

```
&SYSTEM
  ibrav = 0, nat = 4, ntyp = 2
/
ATOMIC_SPECIES
Zr 91.22 Zr.upf
Se 78.96 Se.upf
CELL_PARAMETERS angstrom
3.656 0.000 0.000
0.000 4.754 0.000
0.000 0.000 4.753
ATOMIC_POSITIONS angstrom
Zr 0.000 2.377 1.981
Zr 1.828 0.000 1.981
Zr 1.828 2.377 4.357
Se 0.000 0.000 4.357
```



Least stable structure among those shown: (Q).